Entry 1:
Crystalline CaPr2Dy3As6 at its relaxed geometry, computed with PBE-GGA.

Its formation energy is -1412 meV per atom.

The space group is C2/m (No. 12) and the conventional cell measures 18.370, 4.205 and 8.419 Å, with angles of 90.00, 103.59 and 90.00 degrees. Symmetry generates all atoms from Ca at (0.000, 0.000, 0.000), Pr at (0.165, 0.500, 0.330), Dy at (0.000, 0.000, 0.500), Dy at (0.166, 0.500, 0.834), As at (0.003, 0.500, 0.743), As at (0.165, 0.000, 0.589) and As at (0.169, 0.000, 0.076).

Entry 2:
Crystalline La2OsBr at its relaxed geometry, computed with PBE-GGA.

The value obtained for the energy relative to the lowest polymorph listed for this composition is 73 meV per atom. The calculation puts the formation energy (no corrections) at -2.9 eV/f.u.

The space group is P2/m (No. 10) and the conventional cell measures 3.505, 3.495 and 8.447 Å, with angles of 90.00, 90.07 and 90.00 degrees. Symmetry generates all atoms from La at (0.001, 0.000, 0.289), Os at (0.500, 0.500, 0.500) and Br at (0.500, 0.500, 0.000).

| no. | magnetic moment (μB per formula unit) | raw total energy (eV/atom) |
| --- | --- | --- |
| 1 | 0.0 | -5.850 |
| 2 | 0.0 | -6.421 |